Below is crystalline Tm4GaRu at its relaxed geometry, with properties calculated at the GGA-PBE level.

Cell: 7.8297 7.8297 6.1006 Å, 105.80 105.80 111.68°
Sites, in units of the cell vectors:
Tm 0.0559 0.7061 0.9167
Tm 0.2209 0.3550 0.6939
Tm 0.2939 0.9441 0.5833
Tm 0.3550 0.2209 0.1939
Tm 0.6450 0.7791 0.8061
Tm 0.7061 0.0559 0.4167
Tm 0.7791 0.6450 0.3061
Tm 0.9441 0.2939 0.0833
Ga 0.3685 0.6315 0.2500
Ga 0.6315 0.3685 0.7500
Ru 0.0001 0.9999 0.2500
Ru 0.9999 0.0001 0.7500

As for the total magnetization: 0.0 μB per cell. The calculation puts the energy of formation at -423 meV per atom. The space-group type is C2/c, No. 15.